# RbAsBrO2

Crystalline RbAsBrO2 at its relaxed geometry (GGA-PBE, Alexandria via LeMat-Bulk).

Unit cell a=8.078 b=8.078 c=5.212 alpha=90.00 beta=90.00 gamma=132.28
Sites, in units of the cell vectors:
Rb: 0.135 0.865 0.750
Rb: 0.865 0.135 0.250
As: 0.460 0.540 0.750
As: 0.540 0.460 0.250
Br: 0.287 0.713 0.250
Br: 0.713 0.287 0.750
O: 0.317 0.317 0.000
O: 0.317 0.317 0.500
O: 0.683 0.683 0.000
O: 0.683 0.683 0.500

Calculated values
Magnetization in μB per atom: 0.000
Formation energy without anion corrections in eV per atom: -1.1738
VASP energy in Ry/atom: -0.3392
Crystal system: orthorhombic